(1)
## SrSbI3 (PBEsol)

Data for a relaxed structure of SrSbI3.

## Properties
As for the density of states at the Fermi level: 1.6 states/eV/f.u. The total DFT energy (no corrections) is -13.89 eV/cell. The calculation puts the formation energy from raw total energies at -438 meV per atom. The value obtained for the calculated volume is 217.5 Å³ per cell. For the total magnetization, the calculation gives 0.000 μB per atom.

a = 6.0139 Å, b = 6.0139 Å, c = 6.0139 Å
α = 90.00°, β = 90.00°, γ = 90.00°
With the nearest neighbours (Å) after each atom.
Atoms (fractional coordinates):
Sr  0.0000  0.0000  0.0000  12 I 4.25
Sb  0.5000  0.5000  0.5000  6 I 3.01
I  0.0000  0.5000  0.5000  2 Sb 3.01
I  0.5000  0.0000  0.5000  2 Sb 3.01
I  0.5000  0.5000  0.0000  2 Sb 3.01

(2)
## Y2ScAl (PBEsol)

Data for a relaxed structure of Y2ScAl.

## Properties
As for the density of states at the Fermi level: 4.1 states/eV/f.u. The total DFT energy (no corrections) is -50.46 eV/cell. The value obtained for the calculated volume is 200.7 Å³ per cell. The value obtained for the energy of formation from the pure elements is -222 meV/atom. For the total magnetization, the calculation gives 0.000 μB per atom.

a = 3.6111 Å, b = 5.1031 Å, c = 10.8896 Å
α = 90.00°, β = 90.00°, γ = 90.00°
With the nearest neighbours (Å) after each atom.
Atoms (fractional coordinates):
Y  0.0000  0.0000  0.0000  2 Al 3.09, 4 Sc 3.20
Y  0.0000  0.5000  0.2170  4 Al 3.13, 2 Y 3.48, 2 Sc 3.49
Y  0.5000  0.0000  0.7170  4 Al 3.13, 2 Y 3.48, 2 Sc 3.49
Y  0.5000  0.5000  0.5000  2 Al 3.09, 4 Sc 3.20
Sc  0.0000  0.0000  0.4362  2 Al 2.88, 4 Y 3.20
Sc  0.5000  0.5000  0.9362  2 Al 2.88, 4 Y 3.20
Al  0.0000  0.5000  0.7301  2 Sc 2.88, 6 Y 3.09-3.13
Al  0.5000  0.0000  0.2301  2 Sc 2.88, 6 Y 3.09-3.13

(3)
## NaSrO2 (PBEsol)

Data for a relaxed structure of NaSrO2.

## Properties
As for the density of states at the Fermi level: 3.4 states/eV/f.u. The total DFT energy (no corrections) is -81.30 eV/cell. The calculation puts the formation energy from raw total energies at -1646 meV per atom. The value obtained for the calculated volume is 214.0 Å³ per cell. For the total magnetization, the calculation gives 0.250 μB per atom.

a = 5.9811 Å, b = 5.9811 Å, c = 5.9811 Å
α = 90.00°, β = 90.00°, γ = 90.00°
With the nearest neighbours (Å) after each atom.
Atoms (fractional coordinates):
Na  0.0000  0.0000  0.0000  8 O 2.59
Na  0.0000  0.5000  0.5000  8 O 2.59
Na  0.5000  0.0000  0.5000  8 O 2.59
Na  0.5000  0.5000  0.0000  8 O 2.59
Sr  0.0000  0.0000  0.5000  8 O 2.59
Sr  0.0000  0.5000  0.0000  8 O 2.59
Sr  0.5000  0.0000  0.0000  8 O 2.59
Sr  0.5000  0.5000  0.5000  8 O 2.59
O  0.2500  0.2500  0.2500  4 Na 2.59, 4 Sr 2.59
O  0.2500  0.2500  0.7500  4 Na 2.59, 4 Sr 2.59
O  0.2500  0.7500  0.2500  4 Na 2.59, 4 Sr 2.59
O  0.2500  0.7500  0.7500  4 Na 2.59, 4 Sr 2.59
O  0.7500  0.2500  0.2500  4 Na 2.59, 4 Sr 2.59
O  0.7500  0.2500  0.7500  4 Na 2.59, 4 Sr 2.59
O  0.7500  0.7500  0.2500  4 Na 2.59, 4 Sr 2.59
O  0.7500  0.7500  0.7500  4 Na 2.59, 4 Sr 2.59

(4)
## Cd3ReB (PBEsol)

Data for a relaxed structure of Cd3ReB.

## Properties
As for the density of states at the Fermi level: 5.0 states/eV/f.u. The total DFT energy (no corrections) is -13.51 eV/cell. The value obtained for the calculated volume is 134.6 Å³ per cell. The value obtained for the energy of formation from the pure elements is 2085 meV/atom. For the total magnetization, the calculation gives 0.000 μB per atom.

a = 5.1250 Å, b = 5.1250 Å, c = 5.1250 Å
α = 90.00°, β = 90.00°, γ = 90.00°
With the nearest neighbours (Å) after each atom.
Atoms (fractional coordinates):
Cd  0.0000  0.0000  0.5000  2 Re 2.56
Cd  0.0000  0.5000  0.0000  2 Re 2.56
Cd  0.5000  0.0000  0.0000  2 Re 2.56
Re  0.0000  0.0000  0.0000  6 Cd 2.56
B  0.5000  0.5000  0.5000  12 Cd 3.62

(5)
## LiCdSiIr2 (PBEsol)

Data for a relaxed structure of LiCdSiIr2.

## Properties
As for the density of states at the Fermi level: 0.9 states/eV/f.u. The total DFT energy (no corrections) is -27.56 eV/cell. The calculation puts the formation energy from raw total energies at 200 meV per atom. The value obtained for the calculated volume is 84.8 Å³ per cell. For the total magnetization, the calculation gives 0.000 μB per atom.

a = 4.3890 Å, b = 4.3890 Å, c = 4.4027 Å
α = 90.00°, β = 90.00°, γ = 90.00°
With the nearest neighbours (Å) after each atom.
Atoms (fractional coordinates):
Li  0.0000  0.0000  0.0000  2 Si 2.20
Cd  0.5000  0.5000  0.0000  4 Li 3.10, 8 Ir 3.11
Si  0.0000  0.0000  0.5000  4 Ir 2.19, 2 Li 2.20
Ir  0.0000  0.5000  0.5000  2 Si 2.19
Ir  0.5000  0.0000  0.5000  2 Si 2.19

(6)
## Hg2Ir (PBEsol)

Data for a relaxed structure of Hg2Ir.

## Properties
As for the density of states at the Fermi level: 2.3 states/eV/f.u. The total DFT energy (no corrections) is -38.78 eV/cell. The value obtained for the calculated volume is 223.3 Å³ per cell. The value obtained for the energy of formation from the pure elements is 421 meV/atom. For the total magnetization, the calculation gives 0.000 μB per atom.

a = 2.9730 Å, b = 2.9730 Å, c = 25.2582 Å
α = 90.00°, β = 90.00°, γ = 90.00°
With the nearest neighbours (Å) after each atom.
Atoms (fractional coordinates):
Hg  0.0000  0.2500  0.2998  4 Ir 2.83, 6 Hg 2.92-2.97
Hg  0.0000  0.2500  0.4502  4 Ir 2.83, 6 Hg 2.92-2.97
Hg  0.0000  0.7500  0.5498  4 Ir 2.83, 6 Hg 2.92-2.97
Hg  0.0000  0.7500  0.7002  4 Ir 2.83, 6 Hg 2.92-2.97
Hg  0.5000  0.2500  0.0498  4 Ir 2.83, 6 Hg 2.92-2.97
Hg  0.5000  0.2500  0.2002  4 Ir 2.83, 6 Hg 2.92-2.97
Hg  0.5000  0.7500  0.7998  4 Ir 2.83, 6 Hg 2.92-2.97
Hg  0.5000  0.7500  0.9502  4 Ir 2.83, 6 Hg 2.92-2.97
Ir  0.0000  0.2500  0.8750  8 Hg 2.83, 4 Ir 2.97
Ir  0.0000  0.7500  0.1250  8 Hg 2.83, 4 Ir 2.97
Ir  0.5000  0.2500  0.6250  8 Hg 2.83, 4 Ir 2.97
Ir  0.5000  0.7500  0.3750  8 Hg 2.83, 4 Ir 2.97

(7)
## Ba2GaAsSe5 (PBEsol)

Data for a relaxed structure of Ba2GaAsSe5.

## Properties
As for the density of states at the Fermi level: 0.0 states/eV/f.u. The total DFT energy (no corrections) is -170.03 eV/cell. The calculation puts the formation energy from raw total energies at -1168 meV per atom. The value obtained for the calculated volume is 1021.8 Å³ per cell. For the total magnetization, the calculation gives 0.000 μB per atom.

a = 12.5312 Å, b = 8.8994 Å, c = 9.1624 Å
α = 90.00°, β = 90.00°, γ = 90.00°
With the nearest neighbours (Å) after each atom.
Atoms (fractional coordinates):
Ba  0.1757  0.0058  0.1305  8 Se 3.32-3.43, 1 Ga 3.67
Ba  0.1757  0.4942  0.1305  8 Se 3.32-3.43, 1 Ga 3.67
Ba  0.3243  0.5058  0.6305  8 Se 3.32-3.43, 1 Ga 3.67
Ba  0.3243  0.9942  0.6305  8 Se 3.32-3.43, 1 Ga 3.67
Ba  0.6757  0.0058  0.3695  8 Se 3.32-3.43, 1 Ga 3.67
Ba  0.6757  0.4942  0.3695  8 Se 3.32-3.43, 1 Ga 3.67
Ba  0.8243  0.5058  0.8695  8 Se 3.32-3.43, 1 Ga 3.67
Ba  0.8243  0.9942  0.8695  8 Se 3.32-3.43, 1 Ga 3.67
Ga  0.0946  0.7500  0.8359  4 Se 2.36-2.45
Ga  0.4054  0.2500  0.3359  4 Se 2.36-2.45
Ga  0.5946  0.7500  0.6641  4 Se 2.36-2.45
Ga  0.9054  0.2500  0.1641  4 Se 2.36-2.45
As  0.0326  0.7500  0.4890  3 Se 2.41-2.49
As  0.4674  0.2500  0.9890  3 Se 2.41-2.49
As  0.5326  0.7500  0.0110  3 Se 2.41-2.49
As  0.9674  0.2500  0.5110  3 Se 2.41-2.49
Se  0.0135  0.2500  0.9526  1 Ga 2.36
Se  0.0536  0.5427  0.6693  1 Ga 2.45, 1 As 2.49
Se  0.0536  0.9573  0.6693  1 Ga 2.45, 1 As 2.49
Se  0.2126  0.7500  0.3958  1 As 2.41
Se  0.2208  0.2500  0.3979  1 Ga 2.38
Se  0.2792  0.7500  0.8979  1 Ga 2.38
Se  0.2874  0.2500  0.8958  1 As 2.41
Se  0.4464  0.0427  0.1693  1 Ga 2.45, 1 As 2.49
Se  0.4464  0.4573  0.1693  1 Ga 2.45, 1 As 2.49
Se  0.4865  0.7500  0.4526  1 Ga 2.36
Se  0.5135  0.2500  0.5474  1 Ga 2.36
Se  0.5536  0.5427  0.8307  1 Ga 2.45, 1 As 2.49
Se  0.5536  0.9573  0.8307  1 Ga 2.45, 1 As 2.49
Se  0.7126  0.7500  0.1042  1 As 2.41
Se  0.7208  0.2500  0.1021  1 Ga 2.38
Se  0.7792  0.7500  0.6021  1 Ga 2.38
Se  0.7874  0.2500  0.6042  1 As 2.41
Se  0.9464  0.0427  0.3307  1 Ga 2.45, 1 As 2.49
Se  0.9464  0.4573  0.3307  1 Ga 2.45, 1 As 2.49
Se  0.9865  0.7500  0.0474  1 Ga 2.36

(8)
## BeICl2F (PBEsol)

Data for a relaxed structure of BeICl2F.

## Properties
As for the density of states at the Fermi level: 3.0 states/eV/f.u. The total DFT energy (no corrections) is -16.36 eV/cell. The calculation puts the formation energy from raw total energies at -930 meV per atom. The value obtained for the calculated volume is 87.9 Å³ per cell. For the total magnetization, the calculation gives 0.000 μB per atom.

a = 5.2606 Å, b = 5.2606 Å, c = 3.1753 Å
α = 90.00°, β = 90.00°, γ = 90.00°
With the nearest neighbours (Å) after each atom.
Atoms (fractional coordinates):
Be  0.0000  0.0000  0.0000  2 F 1.59
I  0.5000  0.5000  0.5000  8 Cl 3.07, 2 I 3.18
Cl  0.0000  0.5000  0.0000  2 Be 2.63
Cl  0.5000  0.0000  0.0000  2 Be 2.63
F  0.0000  0.0000  0.5000  2 Be 1.59

(9)
## MnP2F (PBEsol)

Data for a relaxed structure of MnP2F.

## Properties
As for the density of states at the Fermi level: 1.5 states/eV/f.u. The total DFT energy (no corrections) is -97.10 eV/cell. The calculation puts the formation energy from raw total energies at -251 meV per atom. The value obtained for the calculated volume is 184.3 Å³ per cell. The energy relative to the lowest polymorph listed for this composition is 0.0000 eV/atom. For the total magnetization, the calculation gives 0.493 μB per atom.

a = 5.6909 Å, b = 5.6909 Å, c = 5.6909 Å
α = 90.00°, β = 90.00°, γ = 90.00°
With the nearest neighbours (Å) after each atom.
Atoms (fractional coordinates):
Mn  0.0000  0.0000  0.0000  8 P 2.46
Mn  0.0000  0.5000  0.5000  8 P 2.46
Mn  0.5000  0.0000  0.5000  8 P 2.46
Mn  0.5000  0.5000  0.0000  8 P 2.46
P  0.2500  0.2500  0.2500  4 F 2.46, 4 Mn 2.46
P  0.2500  0.2500  0.7500  4 F 2.46, 4 Mn 2.46
P  0.2500  0.7500  0.2500  4 F 2.46, 4 Mn 2.46
P  0.2500  0.7500  0.7500  4 F 2.46, 4 Mn 2.46
P  0.7500  0.2500  0.2500  4 F 2.46, 4 Mn 2.46
P  0.7500  0.2500  0.7500  4 F 2.46, 4 Mn 2.46
P  0.7500  0.7500  0.2500  4 F 2.46, 4 Mn 2.46
P  0.7500  0.7500  0.7500  4 Mn 2.46, 4 F 2.46
F  0.0000  0.0000  0.5000  8 P 2.46
F  0.0000  0.5000  0.0000  8 P 2.46
F  0.5000  0.0000  0.0000  8 P 2.46
F  0.5000  0.5000  0.5000  8 P 2.46

(10)
## BaPtPb (PBEsol)

Data for a relaxed structure of BaPtPb.

## Properties
As for the density of states at the Fermi level: 2.0 states/eV/f.u. The total DFT energy (no corrections) is -14.68 eV/cell. The value obtained for the calculated volume is 87.7 Å³ per cell. The value obtained for the energy of formation from the pure elements is -523 meV/atom. For the total magnetization, the calculation gives 0.000 μB per atom.

a = 4.7745 Å, b = 4.7745 Å, c = 4.4405 Å
α = 90.00°, β = 90.00°, γ = 120.00°
With the nearest neighbours (Å) after each atom.
Atoms (fractional coordinates):
Ba  0.0000  0.0000  0.0000  6 Pb 3.54, 6 Pt 3.54
Pt  0.6667  0.3333  0.5000  3 Pb 2.76
Pb  0.3333  0.6667  0.5000  3 Pt 2.76

(11)
## CdCo2Tc (PBEsol)

Data for a relaxed structure of CdCo2Tc.

## Properties
As for the density of states at the Fermi level: 5.1 states/eV/f.u. The total DFT energy (no corrections) is -53.19 eV/cell. The value obtained for the calculated volume is 105.3 Å³ per cell. The value obtained for the energy of formation from the pure elements is 336 meV/atom. For the total magnetization, the calculation gives 0.466 μB per atom.

a = 4.0225 Å, b = 2.6365 Å, c = 9.9279 Å
α = 90.00°, β = 90.00°, γ = 90.00°
With the nearest neighbours (Å) after each atom.
Atoms (fractional coordinates):
Cd  0.0000  0.0000  0.0000  7 Co 2.57-2.73, 2 Cd 2.64
Cd  0.0000  0.5000  0.5000  7 Co 2.57-2.73, 2 Cd 2.64
Co  0.0000  0.0000  0.2591  4 Co 2.37-2.64, 4 Tc 2.57, 1 Cd 2.57
Co  0.0000  0.5000  0.7591  4 Co 2.37-2.64, 4 Tc 2.57, 1 Cd 2.57
Co  0.5000  0.0000  0.3850  4 Co 2.37-2.64, 2 Tc 2.52
Co  0.5000  0.5000  0.8850  4 Co 2.37-2.64, 2 Tc 2.52
Tc  0.5000  0.0000  0.6681  7 Co 2.52-2.81, 2 Tc 2.64
Tc  0.5000  0.5000  0.1681  7 Co 2.52-2.81, 2 Tc 2.64

(12)
## LiGaBH3O5 (PBEsol)

Data for a relaxed structure of LiGaBH3O5.

## Properties
As for the density of states at the Fermi level: 0.0 states/eV/f.u. The total DFT energy (no corrections) is -135.42 eV/cell. The value obtained for the calculated volume is 236.7 Å³ per cell. For the total magnetization, the calculation gives 0.000 μB per atom.

a = 4.7986 Å, b = 4.7986 Å, c = 11.8760 Å
α = 90.70°, β = 90.70°, γ = 120.01°
With the nearest neighbours (Å) after each atom.
Atoms (fractional coordinates):
Li  0.0017  0.9983  0.5000  4 O 1.90-1.95
Li  0.9983  0.0017  0.0000  4 O 1.90-1.95
Ga  0.3291  0.6616  0.8796  4 O 1.83-1.84
Ga  0.6616  0.3291  0.3796  4 O 1.83-1.84
B  0.3348  0.6651  0.4332  3 O 1.37
B  0.6651  0.3348  0.9332  3 O 1.37
H  0.0954  0.8518  0.6889  1 O 1.00
H  0.2187  0.4300  0.6977  1 O 1.00
H  0.4300  0.2187  0.1977  1 O 1.00
H  0.7586  0.8544  0.6892  1 O 1.00
H  0.8518  0.0954  0.1889  1 O 1.00
H  0.8544  0.7586  0.1892  1 O 1.00
O  0.0484  0.6642  0.4304  1 B 1.37
O  0.3337  0.6589  0.7243  1 H 1.00
O  0.3376  0.3806  0.4385  1 B 1.37
O  0.3806  0.3376  0.9385  1 B 1.37
O  0.6204  0.9519  0.4318  1 B 1.37
O  0.6589  0.3337  0.2243  1 H 1.00
O  0.6642  0.0484  0.9304  1 B 1.37
O  0.9519  0.6204  0.9318  1 B 1.37
O  0.9734  0.9871  0.1637  2 H 1.00
O  0.9871  0.9734  0.6637  2 H 1.00

Question: calculated volume of number 11 (CdCo2Tc)?
Answer: 105.3 Å³ per cell